VASP calculation (PBE with a Hubbard U) on a relaxed structure of PuTl2MoO6.

a b c (Å): 8.4098 8.4098 8.4098
angles (deg): 90.00 90.00 90.00
Space group Fm-3m (No. 225)
One atom of each set of equivalent atoms:
Pu 0.0000 0.0000 0.0000
Tl 0.2500 0.2500 0.2500
Mo 0.0000 0.0000 0.5000
O 0.0000 0.0000 0.2654

Computed properties:
size of the total moment	16.000	μB/cell
E	-0.2690	hartree per atom
V	594.8	Å³ per cell